*1*
Entry from Alexandria via LeMat-Bulk: a relaxed structure of SrMg3Ni (PBE-GGA).

Cell: 7.312 7.312 7.657 Å, 121.22 121.22 51.70°
Fractional coordinates of all 10 atoms:
Sr (0.000, 0.000, 0.000)
Sr (0.000, 0.000, 0.500)
Mg (0.000, 0.500, 0.000)
Mg (0.000, 0.500, 0.500)
Mg (0.499, 0.499, 0.713)
Mg (0.500, 0.000, 0.000)
Mg (0.500, 0.000, 0.500)
Mg (0.501, 0.501, 0.287)
Ni (0.312, 0.312, 0.311)
Ni (0.688, 0.688, 0.689)

Summary:
- total magnetic moment (μB/cell) = 0.0
- D(E_F) (states/eV/atom) = 0.72

---

*2*
Entry from Alexandria via LeMat-Bulk: a relaxed structure of SrMg3Ni (PBE-GGA).

Cell: 5.006 5.006 5.006 Å, 90.00 90.00 90.00°
Fractional coordinates of all 5 atoms:
Sr (0.000, 0.000, 0.000)
Mg (0.000, 0.500, 0.500)
Mg (0.500, 0.000, 0.500)
Mg (0.500, 0.500, 0.000)
Ni (0.500, 0.500, 0.500)

Summary:
- total magnetic moment (μB/cell) = 0.0
- D(E_F) (states/eV/atom) = 0.49

---

We find *2* to be the most stable, with the next structure 38 meV/atom higher.